DyMgAg: optimized geometry, PBE.

Cell lengths 4.023, 7.808, 7.808 Å; angles 120.00, 90.00, 90.00 degrees
Element x y z (fractional)
Ag 0.000 0.333 0.667
Ag 0.000 0.667 0.333
Ag 0.500 0.000 0.000
Dy 0.500 0.588 0.000
Dy 0.500 0.000 0.588
Dy 0.500 0.412 0.412
Mg 0.000 0.249 0.000
Mg 0.000 0.751 0.751
Mg 0.000 0.000 0.249

Computed properties:
ΔH_f (0 K): -77 kJ/mol of formula units
DOS(E_F): 0.791 states/eV per atom
density: 6.9 Mg/m³